# AcPmCuRu, optimized geometry, DFT GGA-PBE
# Polymorph energy (0 for the lowest one) (meV/atom): 43
# ΔE_f (eV/atom): -0.106
data_AcPmCuRu
_chemical_formula_sum 'Ac4 Pm4 Cu4 Ru4'
_symmetry_space_group_name_H-M 'P 1'
_symmetry_Int_Tables_number 1
_cell_length_a 7.253
_cell_length_b 7.253
_cell_length_c 7.253
_cell_angle_alpha 90.00
_cell_angle_beta 90.00
_cell_angle_gamma 90.00
loop_
_symmetry_equiv_pos_as_xyz
'x,y,z'
loop_
_atom_site_label
_atom_site_fract_x
_atom_site_fract_y
_atom_site_fract_z
Ac1 0.000 0.000 0.000
Ac2 0.000 0.500 0.500
Ac3 0.500 0.000 0.500
Ac4 0.500 0.500 0.000
Pm1 0.000 0.000 0.500
Pm2 0.000 0.500 0.000
Pm3 0.500 0.000 0.000
Pm4 0.500 0.500 0.500
Cu1 0.250 0.250 0.750
Cu2 0.250 0.750 0.250
Cu3 0.750 0.250 0.250
Cu4 0.750 0.750 0.750
Ru1 0.250 0.250 0.250
Ru2 0.250 0.750 0.750
Ru3 0.750 0.250 0.750
Ru4 0.750 0.750 0.250



# Ac2PmCuS5, optimized geometry, DFT GGA-PBE
# Formation energy (no corrections) (meV/atom): -1837
data_Ac2PmCuS5
_chemical_formula_sum 'Ac4 Pm2 Cu2 S10'
_symmetry_space_group_name_H-M 'P 1'
_symmetry_Int_Tables_number 1
_cell_length_a 8.746
_cell_length_b 8.746
_cell_length_c 12.445
_cell_angle_alpha 90.00
_cell_angle_beta 90.00
_cell_angle_gamma 152.92
loop_
_symmetry_equiv_pos_as_xyz
'x,y,z'
loop_
_atom_site_label
_atom_site_fract_x
_atom_site_fract_y
_atom_site_fract_z
Ac1 0.116 0.884 0.500
Ac2 0.120 0.880 0.151
Ac3 0.880 0.120 0.651
Ac4 0.884 0.116 0.000
Pm1 0.178 0.822 0.831
Pm2 0.822 0.178 0.331
Cu1 0.449 0.551 0.230
Cu2 0.551 0.449 0.730
S1 0.017 0.983 0.815
S2 0.301 0.699 0.489
S3 0.313 0.687 0.172
S4 0.344 0.656 0.825
S5 0.494 0.506 0.561
S6 0.506 0.494 0.061
S7 0.656 0.344 0.325
S8 0.687 0.313 0.672
S9 0.699 0.301 0.989
S10 0.983 0.017 0.315



# AcPm2CuS5, optimized geometry, DFT GGA-PBE
# Formation energy (no corrections) (meV/atom): -1710
data_AcPm2CuS5
_chemical_formula_sum 'Ac2 Pm4 Cu2 S10'
_symmetry_space_group_name_H-M 'P 1'
_symmetry_Int_Tables_number 1
_cell_length_a 9.859
_cell_length_b 9.859
_cell_length_c 11.131
_cell_angle_alpha 90.00
_cell_angle_beta 90.00
_cell_angle_gamma 156.88
loop_
_symmetry_equiv_pos_as_xyz
'x,y,z'
loop_
_atom_site_label
_atom_site_fract_x
_atom_site_fract_y
_atom_site_fract_z
Ac1 0.204 0.796 0.500
Ac2 0.796 0.204 0.000
Pm1 0.083 0.917 0.179
Pm2 0.107 0.893 0.806
Pm3 0.893 0.107 0.306
Pm4 0.917 0.083 0.679
Cu1 0.437 0.563 0.948
Cu2 0.563 0.437 0.448
S1 0.052 0.948 0.556
S2 0.304 0.696 0.199
S3 0.338 0.662 0.820
S4 0.366 0.634 0.502
S5 0.495 0.505 0.279
S6 0.505 0.495 0.779
S7 0.634 0.366 0.002
S8 0.662 0.338 0.320
S9 0.696 0.304 0.699
S10 0.948 0.052 0.056



# Ac2PmCu2S6, optimized geometry, DFT GGA-PBE
# Formation energy (no corrections) (meV/atom): -1231
data_Ac2PmCu2S6
_chemical_formula_sum 'Ac2 Pm1 Cu2 S6'
_symmetry_space_group_name_H-M 'P 1'
_symmetry_Int_Tables_number 1
_cell_length_a 8.061
_cell_length_b 8.061
_cell_length_c 8.061
_cell_angle_alpha 52.07
_cell_angle_beta 52.07
_cell_angle_gamma 52.07
loop_
_symmetry_equiv_pos_as_xyz
'x,y,z'
loop_
_atom_site_label
_atom_site_fract_x
_atom_site_fract_y
_atom_site_fract_z
Ac1 0.203 0.203 0.203
Ac2 0.797 0.797 0.797
Pm1 0.000 0.000 0.000
Cu1 0.432 0.432 0.432
Cu2 0.568 0.568 0.568
S1 0.217 0.748 0.748
S2 0.252 0.252 0.783
S3 0.252 0.783 0.252
S4 0.748 0.217 0.748
S5 0.748 0.748 0.217
S6 0.783 0.252 0.252



# AcPmCuSe4, optimized geometry, DFT GGA-PBE
# Formation energy (no corrections) (meV/atom): -1452
data_AcPmCuSe4
_chemical_formula_sum 'Ac2 Pm2 Cu2 Se8'
_symmetry_space_group_name_H-M 'P 1'
_symmetry_Int_Tables_number 1
_cell_length_a 7.199
_cell_length_b 6.032
_cell_length_c 8.608
_cell_angle_alpha 90.00
_cell_angle_beta 107.13
_cell_angle_gamma 90.00
loop_
_symmetry_equiv_pos_as_xyz
'x,y,z'
loop_
_atom_site_label
_atom_site_fract_x
_atom_site_fract_y
_atom_site_fract_z
Ac1 0.239 0.250 0.433
Ac2 0.761 0.750 0.567
Pm1 0.231 0.250 0.936
Pm2 0.769 0.750 0.064
Cu1 0.245 0.750 0.184
Cu2 0.755 0.250 0.816
Se1 0.072 0.750 0.384
Se2 0.075 0.750 0.899
Se3 0.486 0.510 0.760
Se4 0.486 0.990 0.760
Se5 0.514 0.010 0.240
Se6 0.514 0.490 0.240
Se7 0.925 0.250 0.101
Se8 0.928 0.250 0.616



# AcPm2CuSe5, optimized geometry, DFT GGA-PBE
# Formation energy (no corrections) (meV/atom): -1567
data_AcPm2CuSe5
_chemical_formula_sum 'Ac2 Pm4 Cu2 Se10'
_symmetry_space_group_name_H-M 'P 1'
_symmetry_Int_Tables_number 1
_cell_length_a 10.255
_cell_length_b 10.255
_cell_length_c 11.674
_cell_angle_alpha 90.00
_cell_angle_beta 90.00
_cell_angle_gamma 156.90
loop_
_symmetry_equiv_pos_as_xyz
'x,y,z'
loop_
_atom_site_label
_atom_site_fract_x
_atom_site_fract_y
_atom_site_fract_z
Ac1 0.201 0.799 0.500
Ac2 0.799 0.201 0.000
Pm1 0.084 0.916 0.178
Pm2 0.107 0.893 0.805
Pm3 0.893 0.107 0.305
Pm4 0.916 0.084 0.678
Cu1 0.432 0.568 0.945
Cu2 0.568 0.432 0.445
Se1 0.051 0.949 0.555
Se2 0.303 0.697 0.198
Se3 0.334 0.666 0.815
Se4 0.364 0.636 0.500
Se5 0.496 0.504 0.278
Se6 0.504 0.496 0.778
Se7 0.636 0.364 0.000
Se8 0.666 0.334 0.315
Se9 0.697 0.303 0.698
Se10 0.949 0.051 0.055



# AcPm2Cu2Si2, optimized geometry, DFT GGA-PBE
# Formation energy (no corrections) (meV/atom): -446
data_AcPm2Cu2Si2
_chemical_formula_sum 'Ac1 Pm2 Cu2 Si2'
_symmetry_space_group_name_H-M 'P 1'
_symmetry_Int_Tables_number 1
_cell_length_a 10.428
_cell_length_b 10.428
_cell_length_c 10.428
_cell_angle_alpha 23.81
_cell_angle_beta 23.81
_cell_angle_gamma 23.81
loop_
_symmetry_equiv_pos_as_xyz
'x,y,z'
loop_
_atom_site_label
_atom_site_fract_x
_atom_site_fract_y
_atom_site_fract_z
Ac1 0.000 0.000 0.000
Pm1 0.129 0.129 0.129
Pm2 0.871 0.871 0.871
Cu1 0.407 0.407 0.407
Cu2 0.593 0.593 0.593
Si1 0.259 0.259 0.259
Si2 0.741 0.741 0.741



# AcPmCu2Si2, optimized geometry, DFT GGA-PBE
# Formation energy (no corrections) (meV/atom): -583
data_AcPmCu2Si2
_chemical_formula_sum 'Ac1 Pm1 Cu2 Si2'
_symmetry_space_group_name_H-M 'P 1'
_symmetry_Int_Tables_number 1
_cell_length_a 4.264
_cell_length_b 4.264
_cell_length_c 8.228
_cell_angle_alpha 90.00
_cell_angle_beta 90.00
_cell_angle_gamma 120.00
loop_
_symmetry_equiv_pos_as_xyz
'x,y,z'
loop_
_atom_site_label
_atom_site_fract_x
_atom_site_fract_y
_atom_site_fract_z
Ac1 0.000 0.000 0.000
Pm1 0.000 0.000 0.500
Cu1 0.333 0.667 0.272
Cu2 0.667 0.333 0.728
Si1 0.333 0.667 0.731
Si2 0.667 0.333 0.269



# AcPmCu2Sn2, optimized geometry, DFT GGA-PBE
# ΔE_f (eV/atom): -0.571
data_AcPmCu2Sn2
_chemical_formula_sum 'Ac1 Pm1 Cu2 Sn2'
_symmetry_space_group_name_H-M 'P 1'
_symmetry_Int_Tables_number 1
_cell_length_a 4.621
_cell_length_b 4.621
_cell_length_c 8.214
_cell_angle_alpha 90.00
_cell_angle_beta 90.00
_cell_angle_gamma 120.00
loop_
_symmetry_equiv_pos_as_xyz
'x,y,z'
loop_
_atom_site_label
_atom_site_fract_x
_atom_site_fract_y
_atom_site_fract_z
Ac1 0.000 0.000 0.000
Pm1 0.000 0.000 0.500
Cu1 0.333 0.667 0.710
Cu2 0.667 0.333 0.290
Sn1 0.333 0.667 0.270
Sn2 0.667 0.333 0.730



# AcPmCu2Te4, optimized geometry, DFT GGA-PBE
# Formation energy (no corrections) (meV/atom): -809
data_AcPmCu2Te4
_chemical_formula_sum 'Ac2 Pm2 Cu4 Te8'
_symmetry_space_group_name_H-M 'P 1'
_symmetry_Int_Tables_number 1
_cell_length_a 7.426
_cell_length_b 7.862
_cell_length_c 8.579
_cell_angle_alpha 90.00
_cell_angle_beta 90.00
_cell_angle_gamma 90.00
loop_
_symmetry_equiv_pos_as_xyz
'x,y,z'
loop_
_atom_site_label
_atom_site_fract_x
_atom_site_fract_y
_atom_site_fract_z
Ac1 0.000 0.000 0.000
Ac2 0.500 0.500 0.500
Pm1 0.000 0.000 0.500
Pm2 0.500 0.500 0.000
Cu1 0.000 0.500 0.145
Cu2 0.000 0.500 0.855
Cu3 0.500 0.000 0.355
Cu4 0.500 0.000 0.645
Te1 0.244 0.289 0.793
Te2 0.244 0.711 0.207
Te3 0.256 0.211 0.293
Te4 0.256 0.789 0.707
Te5 0.744 0.211 0.707
Te6 0.744 0.789 0.293
Te7 0.756 0.289 0.207
Te8 0.756 0.711 0.793



# AcPm2Tl2Cu2, optimized geometry, DFT GGA-PBE
# ΔE_f (eV/atom): -0.166
data_AcPm2Tl2Cu2
_chemical_formula_sum 'Ac1 Pm2 Tl2 Cu2'
_symmetry_space_group_name_H-M 'P 1'
_symmetry_Int_Tables_number 1
_cell_length_a 10.052
_cell_length_b 10.052
_cell_length_c 10.052
_cell_angle_alpha 27.60
_cell_angle_beta 27.60
_cell_angle_gamma 27.60
loop_
_symmetry_equiv_pos_as_xyz
'x,y,z'
loop_
_atom_site_label
_atom_site_fract_x
_atom_site_fract_y
_atom_site_fract_z
Ac1 0.000 0.000 0.000
Pm1 0.127 0.127 0.127
Pm2 0.873 0.873 0.873
Tl1 0.257 0.257 0.257
Tl2 0.743 0.743 0.743
Cu1 0.411 0.411 0.411
Cu2 0.589 0.589 0.589



# AcPmZnCu, optimized geometry, DFT GGA-PBE
# Polymorph energy (0 for the lowest one) (meV/atom): 0
# ΔE_f (eV/atom): -0.193
data_AcPmZnCu
_chemical_formula_sum 'Ac1 Pm1 Zn1 Cu1'
_symmetry_space_group_name_H-M 'P 1'
_symmetry_Int_Tables_number 1
_cell_length_a 3.743
_cell_length_b 3.743
_cell_length_c 7.450
_cell_angle_alpha 90.00
_cell_angle_beta 90.00
_cell_angle_gamma 90.00
loop_
_symmetry_equiv_pos_as_xyz
'x,y,z'
loop_
_atom_site_label
_atom_site_fract_x
_atom_site_fract_y
_atom_site_fract_z
Ac1 0.000 0.000 0.000
Pm1 0.000 0.000 0.513
Zn1 0.500 0.500 0.282
Cu1 0.500 0.500 0.722



Computed values of total energy (unit: eV per atom) for the preceding records, in sequence: -5.664; -6.026; -5.970; -5.406; -5.294; -5.470; -5.110; -5.232; -4.747; -4.511; -3.956; -3.750.